[1]
# TaZn2Pd9 (GGA-PBE, relaxed)
data_TaZn2Pd9
_space_group_name_H-M_alt 'P 4/m m m'
_space_group_IT_number 123
_space_group_name_Hall '-P 4 2'
_cell_length_a 3.933
_cell_length_b 3.933
_cell_length_c 11.814
_cell_angle_alpha 90.00
_cell_angle_beta 90.00
_cell_angle_gamma 90.00
loop_
_atom_site_label
_atom_site_fract_x
_atom_site_fract_y
_atom_site_fract_z
Ta1 0.000 0.000 0.000
Zn1 0.000 0.000 0.340
Pd1 0.000 0.500 0.164
Pd2 0.000 0.500 0.500
Pd3 0.500 0.500 0.000
Pd4 0.500 0.500 0.331
# **Spin magnetization**: 0.0 Bohr magnetons per cell
# **Total DFT energy (no corrections)**: -5.497 eV per atom
# **DFT formation energy**: -465.4 kJ/mol of formula units
# **Calculated volume**: 183 Å³ per cell

***

[2]
# Cu2OsRuN (GGA-PBE, relaxed)
data_Cu2OsRuN
_space_group_name_H-M_alt 'P 4/m m m'
_space_group_IT_number 123
_space_group_name_Hall '-P 4 2'
_cell_length_a 4.729
_cell_length_b 4.729
_cell_length_c 3.571
_cell_angle_alpha 90.00
_cell_angle_beta 90.00
_cell_angle_gamma 90.00
loop_
_atom_site_label
_atom_site_fract_x
_atom_site_fract_y
_atom_site_fract_z
Cu1 0.000 0.500 0.000
Os1 0.000 0.000 0.500
Ru1 0.500 0.500 0.000
N1 0.500 0.500 0.500
# **Spin magnetization**: 2.7 Bohr magnetons per cell
# **Total DFT energy (no corrections)**: -5.823 eV per atom
# **ΔE_f (raw)**: 1582 meV per atom
# **Calculated volume**: 80 Å³ per cell

***

[3]
# Ti2TcRu2 (GGA-PBE, relaxed)
data_Ti2TcRu2
_space_group_name_H-M_alt 'P 4/m b m'
_space_group_IT_number 127
_space_group_name_Hall '-P 4 2ab'
_cell_length_a 7.166
_cell_length_b 7.166
_cell_length_c 2.967
_cell_angle_alpha 90.00
_cell_angle_beta 90.00
_cell_angle_gamma 90.00
loop_
_atom_site_label
_atom_site_fract_x
_atom_site_fract_y
_atom_site_fract_z
Ti1 0.170 0.330 0.000
Tc1 0.000 0.000 0.500
Ru1 0.134 0.634 0.500
# **Spin magnetization**: 0.0 Bohr magnetons per cell
# **Total DFT energy (no corrections)**: -9.066 eV per atom
# **DFT formation energy**: -60.0 kJ/mol of formula units
# **Calculated volume**: 152 Å³ per cell

***

[4]
# Rb2PaAuO4 (GGA-PBE, relaxed)
data_Rb2PaAuO4
_space_group_name_H-M_alt 'I -4'
_space_group_IT_number 82
_cell_length_a 6.659
_cell_length_b 6.659
_cell_length_c 7.873
_cell_angle_alpha 90.00
_cell_angle_beta 90.00
_cell_angle_gamma 90.00
loop_
_space_group_symop_operation_xyz
'x,y,z'
'y,-x,-z'
'-x,-y,z'
'-y,x,-z'
'x+1/2,y+1/2,z+1/2'
'y+1/2,-x+1/2,-z+1/2'
'-x+1/2,-y+1/2,z+1/2'
'-y+1/2,x+1/2,-z+1/2'
loop_
_atom_site_label
_atom_site_fract_x
_atom_site_fract_y
_atom_site_fract_z
Rb1 0.000 0.000 0.000
Rb2 0.000 0.500 0.250
Pa1 0.000 0.000 0.500
Au1 0.000 0.500 0.750
O1 0.157 0.201 0.651
# **Spin magnetization**: 0.0 Bohr magnetons per cell
# **Total DFT energy (no corrections)**: -6.141 eV per atom
# **ΔE_f (raw)**: -1823 meV per atom
# **Calculated volume**: 349 Å³ per cell

***

[5]
# CaFe4Sb (GGA-PBE, relaxed)
data_CaFe4Sb
_space_group_name_H-M_alt 'F -4 3 m'
_space_group_IT_number 216
_space_group_name_Hall 'F -4 2 3'
_cell_length_a 7.162
_cell_length_b 7.162
_cell_length_c 7.162
_cell_angle_alpha 90.00
_cell_angle_beta 90.00
_cell_angle_gamma 90.00
loop_
_atom_site_label
_atom_site_fract_x
_atom_site_fract_y
_atom_site_fract_z
Ca1 0.000 0.000 0.000
Fe1 0.125 0.125 0.625
Sb1 0.250 0.250 0.250
# **Spin magnetization**: 34.0 Bohr magnetons per cell
# **Total DFT energy (no corrections)**: -6.531 eV per atom
# **ΔE_f (raw)**: 131 meV per atom
# **Calculated volume**: 367 Å³ per cell

***

[6]
# Zr4Cu2Hg5 (GGA-PBE, relaxed)
data_Zr4Cu2Hg5
_space_group_name_H-M_alt 'P 1 2/m 1'
_space_group_IT_number 10
_cell_length_a 7.589
_cell_length_b 3.106
_cell_length_c 9.526
_cell_angle_alpha 90.00
_cell_angle_beta 93.57
_cell_angle_gamma 90.00
loop_
_space_group_symop_operation_xyz
'x,y,z'
'-x,-y,-z'
'-x,y,-z'
'x,-y,z'
loop_
_atom_site_label
_atom_site_fract_x
_atom_site_fract_y
_atom_site_fract_z
Zr1 0.163 0.000 0.367
Zr2 0.242 0.000 0.942
Cu1 0.061 0.500 0.129
Hg1 0.178 0.500 0.658
Hg2 0.439 0.500 0.183
Hg3 0.500 0.500 0.500
# **Spin magnetization**: 0.0 Bohr magnetons per cell
# **Total DFT energy (no corrections)**: -4.099 eV per atom
# **DFT formation energy**: -115.7 kJ/mol of formula units
# **Calculated volume**: 224 Å³ per cell

***

[7]
# NaPmCuSi (GGA-PBE, relaxed)
data_NaPmCuSi
_space_group_name_H-M_alt 'F -4 3 m'
_space_group_IT_number 216
_space_group_name_Hall 'F -4 2 3'
_cell_length_a 6.977
_cell_length_b 6.977
_cell_length_c 6.977
_cell_angle_alpha 90.00
_cell_angle_beta 90.00
_cell_angle_gamma 90.00
loop_
_atom_site_label
_atom_site_fract_x
_atom_site_fract_y
_atom_site_fract_z
Na1 0.000 0.000 0.000
Pm1 0.000 0.000 0.500
Cu1 0.250 0.250 0.250
Si1 0.250 0.250 0.750
# **Spin magnetization**: 0.0 Bohr magnetons per cell
# **Total DFT energy (no corrections)**: -3.990 eV per atom
# **ΔE_f (raw)**: -93 meV per atom
# **Calculated volume**: 340 Å³ per cell

***

[8]
# MgNiSe (GGA-PBE, relaxed)
data_MgNiSe
_space_group_name_H-M_alt 'C 1 2 1'
_space_group_IT_number 5
_cell_length_a 8.240
_cell_length_b 6.634
_cell_length_c 4.100
_cell_angle_alpha 90.00
_cell_angle_beta 115.21
_cell_angle_gamma 90.00
loop_
_space_group_symop_operation_xyz
'x,y,z'
'-x,y,-z'
'x+1/2,y+1/2,z'
'-x+1/2,y+1/2,-z'
loop_
_atom_site_label
_atom_site_fract_x
_atom_site_fract_y
_atom_site_fract_z
Mg1 0.000 0.000 0.000
Mg2 0.000 0.496 0.500
Ni1 0.219 0.665 0.160
Se1 0.248 0.323 0.304
# **Spin magnetization**: 0.0 Bohr magnetons per cell
# **Total DFT energy (no corrections)**: -4.052 eV per atom
# **ΔE_f (raw)**: -432 meV per atom
# **Calculated volume**: 203 Å³ per cell

***

[9]
# Ce4Th5In2 (GGA-PBE, relaxed)
data_Ce4Th5In2
_space_group_name_H-M_alt 'I m m m'
_space_group_IT_number 71
_space_group_name_Hall '-I 2 2'
_cell_length_a 3.353
_cell_length_b 9.048
_cell_length_c 21.946
_cell_angle_alpha 90.00
_cell_angle_beta 90.00
_cell_angle_gamma 90.00
loop_
_atom_site_label
_atom_site_fract_x
_atom_site_fract_y
_atom_site_fract_z
Ce1 0.000 0.000 0.245
Ce2 0.000 0.305 0.500
Th1 0.000 0.207 0.345
Th2 0.000 0.500 0.000
In1 0.000 0.000 0.101
# **Spin magnetization**: 0.0 Bohr magnetons per cell
# **Total DFT energy (no corrections)**: -5.875 eV per atom
# **DFT formation energy**: 162.6 kJ/mol of formula units
# **Calculated volume**: 666 Å³ per cell

***

[10]
# TlReN2 (GGA-PBE, relaxed)
data_TlReN2
_space_group_name_H-M_alt 'R -3 m'
_space_group_IT_number 166
_space_group_name_Hall '-R 3 2"'
_cell_length_a 3.2527
_cell_length_b 3.2527
_cell_length_c 19.7793
_cell_angle_alpha 90.00
_cell_angle_beta 90.00
_cell_angle_gamma 120.00
loop_
_atom_site_label
_atom_site_fract_x
_atom_site_fract_y
_atom_site_fract_z
Tl1 0.0000 0.0000 0.0000
Re1 0.0000 0.0000 0.5000
N1 0.0000 0.0000 0.4061
# **Spin magnetization**: 0.0 Bohr magnetons per cell
# **Total DFT energy (no corrections)**: -6.723 eV per atom
# **Energy above the most stable polymorph in this dataset**: 970 meV per atom
# **ΔE_f (raw)**: 1144 meV per atom
# **Calculated volume**: 181 Å³ per cell

***

[11]
# Au4I2Br5 (GGA-PBE, relaxed)
data_Au4I2Br5
_space_group_name_H-M_alt 'C 1 2/m 1'
_space_group_IT_number 12
_cell_length_a 12.091
_cell_length_b 7.407
_cell_length_c 11.172
_cell_angle_alpha 90.00
_cell_angle_beta 119.87
_cell_angle_gamma 90.00
loop_
_space_group_symop_operation_xyz
'x,y,z'
'-x,-y,-z'
'-x,y,-z'
'x,-y,z'
'x+1/2,y+1/2,z'
'-x+1/2,-y+1/2,-z'
'-x+1/2,y+1/2,-z'
'x+1/2,-y+1/2,z'
loop_
_atom_site_label
_atom_site_fract_x
_atom_site_fract_y
_atom_site_fract_z
Au1 0.011 0.000 0.138
Au2 0.226 0.000 0.506
I1 0.235 0.000 0.003
Br1 0.000 0.000 0.500
Br2 0.188 0.237 0.307
# **Spin magnetization**: 0.0 Bohr magnetons per cell
# **Total DFT energy (no corrections)**: -2.158 eV per atom
# **ΔE_f (raw)**: 76 meV per atom
# **Calculated volume**: 868 Å³ per cell

***

[12]
# Eu3Sc5O12 (GGA-PBE, relaxed)
data_Eu3Sc5O12
_space_group_name_H-M_alt 'I a -3 d'
_space_group_IT_number 230
_space_group_name_Hall '-I 4bd 2c 3'
_cell_length_a 13.055
_cell_length_b 13.055
_cell_length_c 13.055
_cell_angle_alpha 90.00
_cell_angle_beta 90.00
_cell_angle_gamma 90.00
loop_
_atom_site_label
_atom_site_fract_x
_atom_site_fract_y
_atom_site_fract_z
Eu1 0.000 0.250 0.125
Sc1 0.000 0.000 0.000
Sc2 0.000 0.250 0.375
O1 0.026 0.057 0.651
# **Spin magnetization**: 144.0 Bohr magnetons per cell
# **Total DFT energy (no corrections)**: -9.263 eV per atom
# **ΔE_f (raw)**: -3164 meV per atom
# **Calculated volume**: 2225 Å³ per cell

***

[13]
# AcAlCd4 (GGA-PBE, relaxed)
data_AcAlCd4
_space_group_name_H-M_alt 'F -4 3 m'
_space_group_IT_number 216
_space_group_name_Hall 'F -4 2 3'
_cell_length_a 8.556
_cell_length_b 8.556
_cell_length_c 8.556
_cell_angle_alpha 90.00
_cell_angle_beta 90.00
_cell_angle_gamma 90.00
loop_
_atom_site_label
_atom_site_fract_x
_atom_site_fract_y
_atom_site_fract_z
Ac1 0.000 0.000 0.000
Al1 0.250 0.250 0.750
Cd1 0.125 0.125 0.375
# **Spin magnetization**: 0.0 Bohr magnetons per cell
# **Total DFT energy (no corrections)**: -1.967 eV per atom
# **DFT formation energy**: -28.2 kJ/mol of formula units
# **Energy above the most stable polymorph in this dataset**: 165 meV per atom
# **Calculated volume**: 626 Å³ per cell

***

[14]
# PmHo2Hg2 (GGA-PBE, relaxed)
data_PmHo2Hg2
_space_group_name_H-M_alt 'P -3 m 1'
_space_group_IT_number 164
_space_group_name_Hall '-P 3 2"'
_cell_length_a 5.1904
_cell_length_b 5.1904
_cell_length_c 6.3856
_cell_angle_alpha 90.00
_cell_angle_beta 90.00
_cell_angle_gamma 120.00
loop_
_atom_site_label
_atom_site_fract_x
_atom_site_fract_y
_atom_site_fract_z
Pm1 0.0000 0.0000 0.0000
Ho1 0.3333 0.6667 0.6586
Hg1 0.3333 0.6667 0.1831
# **Spin magnetization**: 0.2 Bohr magnetons per cell
# **Total DFT energy (no corrections)**: -3.130 eV per atom
# **DFT formation energy**: -109.9 kJ/mol of formula units
# **Energy above the most stable polymorph in this dataset**: 155 meV per atom
# **Calculated volume**: 149 Å³ per cell

***

[15]
# K2BiS (GGA-PBE, relaxed)
data_K2BiS
_space_group_name_H-M_alt 'F m -3 m'
_space_group_IT_number 225
_space_group_name_Hall '-F 4 2 3'
_cell_length_a 8.079
_cell_length_b 8.079
_cell_length_c 8.079
_cell_angle_alpha 90.00
_cell_angle_beta 90.00
_cell_angle_gamma 90.00
loop_
_atom_site_label
_atom_site_fract_x
_atom_site_fract_y
_atom_site_fract_z
K1 0.250 0.250 0.250
Bi1 0.000 0.000 0.000
S1 0.000 0.000 0.500
# **Spin magnetization**: 0.0 Bohr magnetons per cell
# **Total DFT energy (no corrections)**: -2.705 eV per atom
# **Energy above the most stable polymorph in this dataset**: 287 meV per atom
# **ΔE_f (raw)**: -154 meV per atom
# **Calculated volume**: 527 Å³ per cell

***

[16]
# Ca4AgSnO (GGA-PBE, relaxed)
data_Ca4AgSnO
_space_group_name_H-M_alt 'C m c m'
_space_group_IT_number 63
_space_group_name_Hall '-C 2c 2'
_cell_length_a 6.631
_cell_length_b 17.249
_cell_length_c 6.524
_cell_angle_alpha 90.00
_cell_angle_beta 90.00
_cell_angle_gamma 90.00
loop_
_atom_site_label
_atom_site_fract_x
_atom_site_fract_y
_atom_site_fract_z
Ca1 0.000 0.066 0.250
Ca2 0.000 0.410 0.250
Ca3 0.250 0.250 0.000
Ag1 0.000 0.390 0.750
Sn1 0.000 0.115 0.750
O1 0.000 0.271 0.250
# **Spin magnetization**: 0.0 Bohr magnetons per cell
# **Total DFT energy (no corrections)**: -3.936 eV per atom
# **ΔE_f (raw)**: -1105 meV per atom
# **Calculated volume**: 746 Å³ per cell

***

[17]
# Hf2OsPt (GGA-PBE, relaxed)
data_Hf2OsPt
_space_group_name_H-M_alt 'C m c m'
_space_group_IT_number 63
_space_group_name_Hall '-C 2c 2'
_cell_length_a 3.281
_cell_length_b 19.632
_cell_length_c 4.501
_cell_angle_alpha 90.00
_cell_angle_beta 90.00
_cell_angle_gamma 90.00
loop_
_atom_site_label
_atom_site_fract_x
_atom_site_fract_y
_atom_site_fract_z
Hf1 0.000 0.057 0.250
Hf2 0.000 0.189 0.750
Os1 0.000 0.439 0.250
Pt1 0.000 0.330 0.750
# **Spin magnetization**: 0.0 Bohr magnetons per cell
# **Total DFT energy (no corrections)**: -10.166 eV per atom
# **DFT formation energy**: -336.5 kJ/mol of formula units
# **Calculated volume**: 290 Å³ per cell

***

[18]
# V2FeW (GGA-PBE, relaxed)
data_V2FeW
_space_group_name_H-M_alt 'P 4/m m m'
_space_group_IT_number 123
_space_group_name_Hall '-P 4 2'
_cell_length_a 3.011
_cell_length_b 3.011
_cell_length_c 5.931
_cell_angle_alpha 90.00
_cell_angle_beta 90.00
_cell_angle_gamma 90.00
loop_
_atom_site_label
_atom_site_fract_x
_atom_site_fract_y
_atom_site_fract_z
V1 0.000 0.000 0.240
Fe1 0.500 0.500 0.000
W1 0.500 0.500 0.500
# **Spin magnetization**: 0.5 Bohr magnetons per cell
# **Total DFT energy (no corrections)**: -9.988 eV per atom
# **DFT formation energy**: -28.7 kJ/mol of formula units
# **Calculated volume**: 54 Å³ per cell

***

[19]
# AcFeSn (GGA-PBE, relaxed)
data_AcFeSn
_space_group_name_H-M_alt 'P 41 21 2'
_space_group_IT_number 92
_cell_length_a 7.016
_cell_length_b 7.016
_cell_length_c 6.794
_cell_angle_alpha 90.00
_cell_angle_beta 90.00
_cell_angle_gamma 90.00
loop_
_space_group_symop_operation_xyz
'x,y,z'
'-y+1/2,x+1/2,z+1/4'
'-x,-y,z+1/2'
'y+1/2,-x+1/2,z+3/4'
'x+1/2,-y+1/2,-z+3/4'
'-y,-x,-z+1/2'
'-x+1/2,y+1/2,-z+1/4'
'y,x,-z'
loop_
_atom_site_label
_atom_site_fract_x
_atom_site_fract_y
_atom_site_fract_z
Ac1 0.240 0.240 0.000
Fe1 0.038 0.962 0.750
Sn1 0.200 0.200 0.500
# **Spin magnetization**: 7.2 Bohr magnetons per cell
# **Total DFT energy (no corrections)**: -5.455 eV per atom
# **DFT formation energy**: 20.1 kJ/mol of formula units
# **Calculated volume**: 334 Å³ per cell

***

[20]
# NiW2Se (GGA-PBE, relaxed)
data_NiW2Se
_space_group_name_H-M_alt 'A m m 2'
_space_group_IT_number 38
_cell_length_a 3.213
_cell_length_b 3.372
_cell_length_c 11.730
_cell_angle_alpha 90.00
_cell_angle_beta 90.00
_cell_angle_gamma 90.00
loop_
_space_group_symop_operation_xyz
'x,y,z'
'-x,-y,z'
'-x,y,z'
'x,-y,z'
'x,y+1/2,z+1/2'
'-x,-y+1/2,z+1/2'
'-x,y+1/2,z+1/2'
'x,-y+1/2,z+1/2'
loop_
_atom_site_label
_atom_site_fract_x
_atom_site_fract_y
_atom_site_fract_z
Ni1 0.000 0.000 0.000
W1 0.000 0.000 0.239
W2 0.500 0.000 0.626
Se1 0.500 0.000 0.414
# **Spin magnetization**: 0.0 Bohr magnetons per cell
# **Total DFT energy (no corrections)**: -8.588 eV per atom
# **ΔE_f (raw)**: 205 meV per atom
# **Calculated volume**: 127 Å³ per cell

***

[21]
# LuHfZnGa (GGA-PBE, relaxed)
data_LuHfZnGa
_space_group_name_H-M_alt 'F -4 3 m'
_space_group_IT_number 216
_space_group_name_Hall 'F -4 2 3'
_cell_length_a 6.784
_cell_length_b 6.784
_cell_length_c 6.784
_cell_angle_alpha 90.00
_cell_angle_beta 90.00
_cell_angle_gamma 90.00
loop_
_atom_site_label
_atom_site_fract_x
_atom_site_fract_y
_atom_site_fract_z
Lu1 0.000 0.000 0.000
Hf1 0.000 0.000 0.500
Zn1 0.250 0.250 0.750
Ga1 0.250 0.250 0.250
# **Spin magnetization**: 0.0 Bohr magnetons per cell
# **Total DFT energy (no corrections)**: -5.020 eV per atom
# **DFT formation energy**: -126.1 kJ/mol of formula units
# **Calculated volume**: 312 Å³ per cell